(1)
Below is B7C5 after structural relaxation, with properties calculated at the GGA-PBE level.

Values from the calculation:
Crystal system: orthorhombic
Formation enthalpy at 0 K in eV/atom: 0.41
DOS(E_F) in states/eV/f.u.: 1.4
Volume in Å³/atom: 6.78
Calculated total energy in eV per atom: -7.330

Lattice parameters (Å, degrees): 2.338 2.596 13.394 90.00 90.00 90.00
Atoms (fractional coordinates):
B 0.000 0.000 0.000
B 0.000 0.000 0.319
B 0.000 0.000 0.641
B 0.000 0.500 0.737
B 0.500 0.000 0.539
B 0.500 0.500 0.160
B 0.500 0.500 0.841
C 0.000 0.500 0.072
C 0.000 0.500 0.398
C 0.500 0.000 0.232
C 0.500 0.000 0.910
C 0.500 0.500 0.463

---

(2)
Below is BC after structural relaxation, with properties calculated at the GGA-PBE level.

Values from the calculation:
Crystal system: monoclinic
Formation enthalpy at 0 K in eV/atom: 0.34
DOS(E_F) in states/eV/f.u.: 0.2
Volume in Å³/atom: 7.25
Calculated total energy in eV per atom: -7.609

Lattice parameters (Å, degrees): 6.397 6.397 5.308 97.86 97.86 23.87
Atoms (fractional coordinates):
B 0.000 0.000 0.000
B 0.030 0.030 0.611
B 0.226 0.226 0.317
B 0.358 0.358 0.730
B 0.602 0.602 0.069
B 0.887 0.887 0.151
C 0.250 0.250 0.869
C 0.322 0.322 0.149
C 0.602 0.602 0.583
C 0.667 0.667 0.363
C 0.680 0.680 0.840
C 0.920 0.920 0.710

---

(3)
Below is BC after structural relaxation, with properties calculated at the GGA-PBE level.

Values from the calculation:
Crystal system: triclinic
Formation enthalpy at 0 K in eV/atom: 0.39
DOS(E_F) in states/eV/f.u.: 0.3
Volume in Å³/atom: 6.47
Calculated total energy in eV per atom: -7.557

Lattice parameters (Å, degrees): 3.487 4.453 5.430 96.04 91.25 111.89
Atoms (fractional coordinates):
B 0.000 0.000 0.000
B 0.001 0.587 0.930
B 0.409 0.354 0.126
B 0.556 0.206 0.857
B 0.678 0.855 0.738
B 0.702 0.988 0.275
C 0.033 0.618 0.436
C 0.254 0.554 0.671
C 0.286 0.672 0.202
C 0.348 0.243 0.587
C 0.633 0.322 0.378
C 0.962 0.940 0.510

---

Number 1: E above lowest polymorph 243.7 meV/atom. Number 2: E above lowest polymorph 190.6 meV/atom. Number 3: E above lowest polymorph 242.9 meV/atom.